(1)
Density functional theory data (PBE) for ZrAlHg2 after structural relaxation.

Output
Magnetization, μB/f.u.: 0.0
Space group: Pm, No. 6
ΔH_f (0 K), eV/atom: -0.0769

a = 3.1950 Å, b = 4.3912 Å, c = 6.1563 Å
α = 90.00°, β = 104.20°, γ = 90.00°
Closest atoms and distances in Å follow each position.
Fractional coordinates of all 4 atoms:
Zr 0.0000 0.0000 0.0000  4 Al 2.95, 7 Hg 3.14-3.25, 2 Zr 3.20
Al 0.5920 0.5000 0.1951  3 Hg 2.75-2.80, 4 Zr 2.95
Hg 0.3634 0.5000 0.7261  1 Al 2.80, 4 Hg 3.08-3.13
Hg 0.7285 0.0000 0.4732  2 Al 2.75, 2 Hg 3.08

(2)
Density functional theory data (PBE) for Sr4Li5Rh2 after structural relaxation.

Output
Magnetization, μB/f.u.: 0.0
Space group: P2/m, No. 10
ΔH_f (0 K), eV/atom: -0.0847

a = 7.5233 Å, b = 4.5326 Å, c = 9.3393 Å
α = 90.00°, β = 94.28°, γ = 90.00°
Closest atoms and distances in Å follow each position.
Fractional coordinates of all 11 atoms:
Sr 0.2005 0.0000 0.3435  2 Rh 3.09, 4 Li 3.36-3.44
Sr 0.2164 0.0000 0.9242  4 Rh 3.18-3.22, 4 Li 3.39-3.52
Sr 0.7836 0.0000 0.0758  4 Rh 3.18-3.22, 4 Li 3.39-3.52
Sr 0.7995 0.0000 0.6565  2 Rh 3.09, 4 Li 3.36-3.44
Li 0.1482 0.5000 0.6555  1 Rh 2.69
Li 0.4312 0.5000 0.1677  1 Rh 2.66
Li 0.5000 0.5000 0.5000  4 Li 3.11, 4 Sr 3.44
Li 0.5688 0.5000 0.8323  1 Rh 2.66
Li 0.8518 0.5000 0.3445  1 Rh 2.69
Rh 0.0765 0.5000 0.1338  2 Li 2.66-2.69, 1 Rh 2.67
Rh 0.9235 0.5000 0.8662  2 Li 2.66-2.69, 1 Rh 2.67

(3)
Density functional theory data (PBE) for Tb2PmY2Tm2 after structural relaxation.

Output
Magnetization, μB/f.u.: 0.0
Space group: Immm, No. 71
ΔH_f (0 K), eV/atom: 0.0496

a = 12.0553 Å, b = 12.0553 Å, c = 12.0553 Å
α = 163.11°, β = 153.81°, γ = 31.32°
Closest atoms and distances in Å follow each position.
Fractional coordinates of all 7 atoms:
Tb 0.2235 0.2235 0.0000  4 Y 3.32-3.59, 6 Tb 3.48-3.54
Tb 0.7765 0.7765 0.0000  4 Y 3.32-3.59, 6 Tb 3.48-3.54
Pm 0.5000 0.0000 0.5000  2 Y 3.30, 2 Pm 3.54
Y 0.3579 0.8579 0.5000  1 Pm 3.30, 4 Tb 3.32-3.59, 2 Y 3.54, 4 Tm 3.57
Y 0.6421 0.1421 0.5000  1 Pm 3.30, 4 Tb 3.32-3.59, 2 Y 3.54, 4 Tm 3.57
Tm 0.0794 0.5794 0.5000  3 Tm 3.54-3.68, 4 Y 3.57, 4 Pm 3.74, 2 Tb 3.79
Tm 0.9206 0.4206 0.5000  3 Tm 3.54-3.68, 4 Y 3.57, 4 Pm 3.74, 2 Tb 3.79

(4)
Density functional theory data (PBE) for Na4Ho3TiO8 after structural relaxation.

Output
Magnetization, μB/f.u.: 1.0
Space group: C2/m, No. 12
E_form (uncorrected), meV/atom: -2674

a = 6.6547 Å, b = 6.6547 Å, c = 6.7611 Å
α = 119.60°, β = 119.60°, γ = 60.17°
Closest atoms and distances in Å follow each position.
Fractional coordinates of all 16 atoms:
Na 0.0000 0.0000 0.0000  6 O 2.55-2.67
Na 0.0000 0.5000 0.0000  6 O 2.48-2.50
Na 0.5000 0.0000 0.0000  6 O 2.48-2.50
Na 0.5000 0.5000 0.0000  6 O 2.48-2.49
Ho 0.0000 0.0000 0.5000  6 O 2.26-2.28
Ho 0.0000 0.5000 0.5000  6 O 2.26-2.29
Ho 0.5000 0.0000 0.5000  6 O 2.26-2.29
Ti 0.5000 0.5000 0.5000  6 O 2.07-2.21
O 0.2384 0.2384 0.7132  3 Ho 2.26, 3 Na 2.48-2.50
O 0.2460 0.7321 0.7113  1 Ti 2.21, 2 Ho 2.27-2.28
O 0.2679 0.7540 0.2887  1 Ti 2.21, 2 Ho 2.27-2.28
O 0.2816 0.2816 0.3023  1 Ti 2.07, 2 Ho 2.29
O 0.7184 0.7184 0.6977  1 Ti 2.07, 2 Ho 2.29
O 0.7321 0.2460 0.7113  1 Ti 2.21, 2 Ho 2.27-2.28
O 0.7540 0.2679 0.2887  1 Ti 2.21, 2 Ho 2.27-2.28
O 0.7616 0.7616 0.2868  3 Ho 2.26, 3 Na 2.48-2.50

(5)
Density functional theory data (PBE) for YPd4Pt after structural relaxation.

Output
ΔE to the lowest computed polymorph, meV/atom: 96
Magnetization, μB/f.u.: 0.0
Space group: F-43m, No. 216
ΔH_f (0 K), eV/atom: -0.4834

a = 5.2932 Å, b = 5.2932 Å, c = 5.2932 Å
α = 60.00°, β = 60.00°, γ = 60.00°
Closest atoms and distances in Å follow each position.
Fractional coordinates of all 6 atoms:
Y 0.0000 0.0000 0.0000  12 Pd 3.11, 4 Pt 3.24
Pd 0.1272 0.6243 0.6243  6 Pd 2.63-2.66
Pd 0.6243 0.1272 0.6243  6 Pd 2.63-2.66
Pd 0.6243 0.6243 0.1272  6 Pd 2.63-2.66
Pd 0.6243 0.6243 0.6243  6 Pd 2.63-2.66
Pt 0.2500 0.2500 0.2500  12 Pd 3.10, 4 Y 3.24

(6)
Density functional theory data (PBE) for Rb2NaHgCl6 after structural relaxation.

Output
Magnetization, μB/f.u.: 0.6
Space group: P-1, No. 2
E_form (uncorrected), meV/atom: -1262

a = 7.0961 Å, b = 7.2173 Å, c = 7.6641 Å
α = 92.37°, β = 115.36°, γ = 116.17°
Closest atoms and distances in Å follow each position.
Fractional coordinates of all 10 atoms:
Rb 0.0276 0.2695 0.2608  7 Cl 3.32-3.59
Rb 0.9724 0.7305 0.7392  7 Cl 3.32-3.59
Na 0.5000 0.5000 0.0000  6 Cl 2.72-2.90
Hg 0.5000 0.0000 0.5000  4 Cl 2.52-2.56
Cl 0.0084 0.2647 0.8200  1 Na 2.72, 1 Hg 2.94
Cl 0.3707 0.1706 0.6863  1 Hg 2.52, 1 Na 2.83
Cl 0.4299 0.7051 0.6781  1 Hg 2.56
Cl 0.5701 0.2949 0.3219  1 Hg 2.56
Cl 0.6293 0.8294 0.3137  1 Hg 2.52, 1 Na 2.83
Cl 0.9916 0.7353 0.1800  1 Na 2.72, 1 Hg 2.94